(1)
The following is a DFT calculation (GGA-PBEsol) of a geometry-optimized Ca4Be4P4O17F3 structure.

Values from the calculation:
**ΔE_f (raw)**: -2.8254 eV/atom
**Crystal system**: triclinic

Cell lengths 4.762, 7.670, 9.717 Å; angles 89.98, 89.25, 90.12 degrees
Fractional positions:
Ca: 0.001 0.388 0.830
Ca: 0.000 0.882 0.671
Ca: 0.997 0.610 0.170
Ca: 0.006 0.110 0.330
Be: 0.451 0.086 0.837
Be: 0.541 0.588 0.663
Be: 0.546 0.915 0.163
Be: 0.460 0.413 0.337
P: 0.524 0.230 0.583
P: 0.475 0.728 0.920
P: 0.475 0.772 0.419
P: 0.524 0.272 0.081
O: 0.312 0.155 0.692
O: 0.680 0.655 0.808
O: 0.684 0.849 0.309
O: 0.318 0.345 0.193
O: 0.660 0.395 0.646
O: 0.332 0.891 0.855
O: 0.342 0.608 0.353
O: 0.665 0.109 0.145
O: 0.758 0.100 0.546
O: 0.245 0.599 0.962
O: 0.245 0.900 0.460
O: 0.752 0.402 0.039
O: 0.344 0.217 0.956
O: 0.651 0.719 0.545
O: 0.653 0.782 0.045
O: 0.355 0.278 0.454
O: 0.784 0.097 0.810
F: 0.212 0.592 0.675
F: 0.216 0.907 0.175
F: 0.790 0.406 0.325

(2)
The following is a DFT calculation (GGA-PBEsol) of a geometry-optimized TaPIN2 structure.

Values from the calculation:
**ΔE_f (raw)**: 0.6765 eV/atom
**DOS at the Fermi energy**: 0.619 states/eV/atom
**Crystal system**: tetragonal

Cell lengths 3.992, 3.992, 5.820 Å; angles 90.00, 90.00, 90.00 degrees
Fractional positions:
I: 0.000 0.000 0.500
P: 0.500 0.500 0.500
N: 0.000 0.500 0.000
N: 0.500 0.000 0.000
Ta: 0.000 0.000 0.000

(3)
The following is a DFT calculation (GGA-PBEsol) of a geometry-optimized Sc2Si2Au structure.

Values from the calculation:
**ΔE_f (raw)**: -0.8671 eV/atom
**DOS at the Fermi energy**: 0.565 states/eV/atom
**Crystal system**: tetragonal

Cell lengths 4.048, 6.477, 6.477 Å; angles 90.00, 90.00, 90.00 degrees
Fractional positions:
Sc: 0.500 0.171 0.671
Sc: 0.500 0.671 0.829
Sc: 0.500 0.829 0.329
Sc: 0.500 0.329 0.171
Si: 0.000 0.371 0.871
Si: 0.000 0.871 0.629
Si: 0.000 0.629 0.129
Si: 0.000 0.129 0.371
Au: 0.000 0.000 0.000
Au: 0.000 0.500 0.500

(4)
The following is a DFT calculation (GGA-PBEsol) of a geometry-optimized Na2IN structure.

Values from the calculation:
**ΔE_f (raw)**: 0.1619 eV/atom
**DOS at the Fermi energy**: 0.594 states/eV/atom
**Crystal system**: tetragonal

Cell lengths 4.989, 7.014, 7.014 Å; angles 82.73, 69.17, 69.17 degrees
Fractional positions:
I: 0.000 0.000 0.000
I: 0.750 0.500 0.500
Na: 0.875 0.750 0.750
Na: 0.375 0.250 0.250
Na: 0.375 0.750 0.250
Na: 0.375 0.250 0.750
N: 0.500 0.000 0.000
N: 0.250 0.500 0.500

(5)
The following is a DFT calculation (GGA-PBEsol) of a geometry-optimized TbCdAu structure.

Values from the calculation:
**DOS at the Fermi energy**: 0.678 states/eV/atom
**Crystal system**: hexagonal
**Energy of formation from the pure elements**: -0.6852 eV per atom

Cell lengths 3.900, 7.637, 7.637 Å; angles 120.00, 90.00, 90.00 degrees
Fractional positions:
Tb: 0.000 0.000 0.403
Tb: 0.000 0.597 0.597
Tb: 0.000 0.403 0.000
Au: 0.500 0.333 0.667
Au: 0.500 0.667 0.333
Au: 0.000 0.000 0.000
Cd: 0.500 0.000 0.739
Cd: 0.500 0.261 0.261
Cd: 0.500 0.739 0.000

(6)
The following is a DFT calculation (GGA-PBEsol) of a geometry-optimized SrReC3 structure.

Values from the calculation:
**DOS at the Fermi energy**: 0.635 states/eV/atom
**Crystal system**: cubic
**Energy of formation from the pure elements**: 0.8626 eV per atom

Cell lengths 4.061, 4.061, 4.061 Å; angles 90.00, 90.00, 90.00 degrees
Fractional positions:
Re: 0.000 0.000 0.000
C: 0.000 0.500 0.000
C: 0.000 0.000 0.500
C: 0.500 0.000 0.000
Sr: 0.500 0.500 0.500

(7)
The following is a DFT calculation (GGA-PBEsol) of a geometry-optimized KMo2As2 structure.

Values from the calculation:
**Energy above the most stable polymorph in this dataset**: 0 meV per atom
**DOS at the Fermi energy**: 0.094 states/eV/atom
**Crystal system**: tetragonal
**Energy of formation from the pure elements**: -0.2756 eV per atom

Cell lengths 3.754, 3.754, 8.109 Å; angles 103.39, 103.39, 90.00 degrees
Fractional positions:
As: 0.366 0.366 0.732
As: 0.634 0.634 0.268
K: 0.000 0.000 0.000
Mo: 0.250 0.750 0.500
Mo: 0.750 0.250 0.500

(8)
The following is a DFT calculation (GGA-PBEsol) of a geometry-optimized ZrPPt3 structure.

Values from the calculation:
**DOS at the Fermi energy**: 0.634 states/eV/atom
**Crystal system**: cubic
**Energy of formation from the pure elements**: -0.2094 eV per atom

Cell lengths 4.481, 4.481, 4.481 Å; angles 90.00, 90.00, 90.00 degrees
Fractional positions:
P: 0.000 0.000 0.000
Zr: 0.500 0.500 0.500
Pt: 0.000 0.500 0.000
Pt: 0.000 0.000 0.500
Pt: 0.500 0.000 0.000

(9)
The following is a DFT calculation (GGA-PBEsol) of a geometry-optimized RbBe3Al structure.

Values from the calculation:
**Energy above the most stable polymorph in this dataset**: 0 meV per atom
**DOS at the Fermi energy**: 0.545 states/eV/atom
**Crystal system**: cubic
**Energy of formation from the pure elements**: 1.0438 eV per atom

Cell lengths 4.662, 4.662, 4.662 Å; angles 90.00, 90.00, 90.00 degrees
Fractional positions:
Be: 0.000 0.500 0.000
Be: 0.000 0.000 0.500
Be: 0.500 0.000 0.000
Al: 0.000 0.000 0.000
Rb: 0.500 0.500 0.500

(10)
The following is a DFT calculation (GGA-PBEsol) of a geometry-optimized ZrScSi2 structure.

Values from the calculation:
**ΔE_f (raw)**: -0.9540 eV/atom
**Energy above the most stable polymorph in this dataset**: 0 meV per atom
**DOS at the Fermi energy**: 0.418 states/eV/atom
**Crystal system**: orthorhombic

Cell lengths 3.701, 3.811, 5.280 Å; angles 111.16, 90.00, 90.00 degrees
Fractional positions:
Sc: 0.500 0.767 0.535
Si: 0.500 0.043 0.086
Si: 0.000 0.205 0.411
Zr: 0.000 0.484 0.969

(11)
The following is a DFT calculation (GGA-PBEsol) of a geometry-optimized Sr2CaRe structure.

Values from the calculation:
**DOS at the Fermi energy**: 1.057 states/eV/atom
**Crystal system**: tetragonal
**Energy of formation from the pure elements**: 0.8057 eV per atom

Cell lengths 3.544, 3.544, 10.443 Å; angles 90.00, 90.00, 90.00 degrees
Fractional positions:
Re: 0.500 0.500 0.261
Ca: 0.000 0.000 0.424
Sr: 0.000 0.000 0.076
Sr: 0.500 0.500 0.739

(12)
The following is a DFT calculation (GGA-PBEsol) of a geometry-optimized LiMgTa2 structure.

Values from the calculation:
**DOS at the Fermi energy**: 0.787 states/eV/atom
**Crystal system**: orthorhombic
**Energy of formation from the pure elements**: 0.3979 eV per atom

Cell lengths 2.723, 2.723, 10.249 Å; angles 90.00, 90.00, 110.86 degrees
Fractional positions:
Li: 0.500 0.500 0.500
Mg: 0.500 0.500 0.000
Ta: 0.000 0.000 0.248
Ta: 0.000 0.000 0.752

Asked for total energy across the records above, the calculation gives -7.2854 -6.7560 -6.5926 -3.1114 -4.0622 -7.9582 -7.2520 -7.3637 -2.3795 -7.7511 -3.9808 -6.7986 eV/atom in order.